Record 1
Density functional theory data (PBE) for crystalline Ba2CaPb at its relaxed geometry.

Crystal system: tetragonal
E_form (meV per atom): -267

abc: 6.4973 6.4973 5.7946
angles: 63.51 63.51 53.01
Closest atoms and distances in Å follow each position.
Fractional positions:
Ca 0.7500 0.7500 0.7500  8 Ba 3.84, 4 Pb 4.10
Pb 0.2500 0.2500 0.2500  8 Ba 3.84, 4 Ca 4.10
Ba 0.4997 0.4997 0.5004  4 Pb 3.84, 4 Ca 3.84, 4 Ba 4.10
Ba 0.0003 0.0003 0.9996  4 Pb 3.84, 4 Ca 3.84, 4 Ba 4.10


Record 2
Density functional theory data (PBE) for crystalline BaCa2Pb2 at its relaxed geometry.

Crystal system: tetragonal
E_form (meV per atom): -472
Distance to the lowest polymorph of the same formula (meV/atom): 42

abc: 5.2497 5.2497 7.8963
angles: 70.58 70.58 90.00
Closest atoms and distances in Å follow each position.
Fractional positions:
Pb 0.6102 0.6102 0.7797  1 Pb 3.07, 4 Ca 3.27
Pb 0.3898 0.3898 0.2203  1 Pb 3.07, 4 Ca 3.27
Ca 0.7500 0.2500 0.5000  4 Pb 3.27
Ca 0.2500 0.7500 0.5000  4 Pb 3.27
Ba 0.0000 0.0000 0.0000  8 Pb 4.02, 8 Ca 4.36


Record 3
Density functional theory data (PBE) for crystalline Ba3CaPb at its relaxed geometry.

Crystal system: cubic
E_form (meV per atom): -47
Distance to the lowest polymorph of the same formula (meV/atom): 0

abc: 6.8242 6.8242 6.8242
angles: 90.00 90.00 90.00
Closest atoms and distances in Å follow each position.
Fractional positions:
Ba 0.0000 0.5000 0.0000  2 Pb 3.41
Ba 0.0000 0.0000 0.5000  2 Pb 3.41
Ba 0.5000 0.0000 0.0000  2 Pb 3.41
Ca 0.5000 0.5000 0.5000  12 Ba 4.83
Pb 0.0000 0.0000 0.0000  6 Ba 3.41


Record 4
Density functional theory data (PBE) for crystalline BaCa2Pb at its relaxed geometry.

Crystal system: tetragonal
E_form (meV per atom): -213

abc: 6.5426 6.5426 6.5426
angles: 131.78 131.78 70.58
Closest atoms and distances in Å follow each position.
Fractional positions:
Ba 0.7500 0.2500 0.5000  8 Ca 3.78, 4 Pb 3.78
Ca 0.0000 0.0000 0.0000  4 Ba 3.78, 4 Pb 3.78, 4 Ca 3.78
Ca 0.5000 0.5000 0.0000  4 Pb 3.78, 4 Ba 3.78, 4 Ca 3.78
Pb 0.2500 0.7500 0.5000  8 Ca 3.78, 4 Ba 3.78


Record 5
Density functional theory data (PBE) for crystalline BaCa2Pb2 at its relaxed geometry.

Crystal system: tetragonal
E_form (meV per atom): -497
Distance to the lowest polymorph of the same formula (meV/atom): 16

abc: 9.6221 9.6221 3.6667
angles: 90.00 90.00 90.00
Closest atoms and distances in Å follow each position.
Fractional positions:
Ca 0.1244 0.3756 0.0000  6 Pb 3.31-3.43, 3 Ca 3.39-3.67
Ca 0.3756 0.8756 0.0000  6 Pb 3.31-3.43, 3 Ca 3.39-3.67
Ca 0.8756 0.6244 0.0000  6 Pb 3.31-3.43, 3 Ca 3.39-3.67
Ca 0.6244 0.1244 0.0000  6 Pb 3.31-3.43, 3 Ca 3.39-3.67
Pb 0.6730 0.8270 0.5000  6 Ca 3.31-3.43, 2 Pb 3.67
Pb 0.3270 0.1730 0.5000  6 Ca 3.31-3.43, 2 Pb 3.67
Pb 0.1730 0.6730 0.5000  6 Ca 3.31-3.43, 2 Pb 3.67
Pb 0.8270 0.3270 0.5000  6 Ca 3.31-3.43, 2 Pb 3.67
Ba 0.0000 0.0000 0.0000  2 Ba 3.67, 4 Ca 3.81, 8 Pb 4.00
Ba 0.5000 0.5000 0.0000  2 Ba 3.67, 4 Ca 3.81, 8 Pb 4.00


Record 6
Density functional theory data (PBE) for crystalline BaCa2Pb at its relaxed geometry.

Crystal system: orthorhombic
E_form (meV per atom): -224

abc: 7.1033 7.1033 5.7512
angles: 66.12 66.12 37.19
Closest atoms and distances in Å follow each position.
Fractional positions:
Pb 0.4863 0.4863 0.5134  2 Ca 3.26, 2 Ba 3.60
Ca 0.0043 0.0043 0.9957  4 Pb 3.67, 2 Ca 3.85, 2 Ba 3.86
Ca 0.7936 0.7936 0.7066  2 Pb 3.26
Ba 0.2158 0.2158 0.2843  2 Pb 3.60, 6 Ca 3.78-3.86


Record 7
Density functional theory data (PBE) for crystalline Ba2CaPb at its relaxed geometry.

Crystal system: orthorhombic
E_form (meV per atom): -293

abc: 7.6145 7.6145 6.1992
angles: 65.97 65.97 33.91
Closest atoms and distances in Å follow each position.
Fractional positions:
Pb 0.2350 0.2350 0.2649  2 Ca 3.24, 2 Ba 3.62
Ba 0.9520 0.9520 0.0481  2 Pb 3.62, 2 Ba 4.02-4.03, 4 Ca 4.05
Ba 0.7571 0.7571 0.7428  4 Pb 3.82, 2 Ba 4.02-4.03, 2 Ca 4.08
Ca 0.5559 0.5559 0.4443  2 Pb 3.24


Record 8
Density functional theory data (PBE) for crystalline BaCa2Pb2 at its relaxed geometry.

Crystal system: tetragonal
E_form (meV per atom): -297
Distance to the lowest polymorph of the same formula (meV/atom): 217

abc: 5.8572 5.8572 7.2432
angles: 66.15 66.15 90.00
Closest atoms and distances in Å follow each position.
Fractional positions:
Pb 0.2500 0.7500 0.5000  4 Ca 3.14
Pb 0.7500 0.2500 0.5000  4 Ca 3.14
Ca 0.6549 0.6549 0.6901  4 Pb 3.14
Ca 0.3451 0.3451 0.3099  4 Pb 3.14
Ba 0.0000 0.0000 0.0000  10 Ca 4.10-4.53, 8 Pb 4.17


Record 9
Density functional theory data (PBE) for crystalline BaCa2Pb at its relaxed geometry.

Crystal system: monoclinic
E_form (meV per atom): -138

abc: 7.4003 7.4003 3.7261
angles: 76.14 76.14 118.71
Closest atoms and distances in Å follow each position.
Fractional positions:
Ba 0.0000 0.5000 0.5000  4 Ca 3.72, 2 Ba 3.73, 4 Pb 3.77-3.86
Pb 0.5000 0.0000 0.5000  4 Ca 3.72, 2 Pb 3.73, 4 Ba 3.77-3.86
Ca 0.0000 0.0000 0.0000  2 Ba 3.72, 2 Pb 3.72, 6 Ca 3.73-3.86
Ca 0.5000 0.5000 0.0000  2 Pb 3.72, 2 Ba 3.72, 6 Ca 3.73-3.86


Record 10
Density functional theory data (PBE) for crystalline Ba2CaPb at its relaxed geometry.

Crystal system: orthorhombic
E_form (meV per atom): -271

abc: 5.5609 4.3541 7.7516
angles: 73.67 90.00 90.00
Closest atoms and distances in Å follow each position.
Fractional positions:
Ca 0.0000 0.6800 0.5152  2 Pb 3.31
Ba 0.5000 0.2942 0.2868  4 Ca 3.92, 3 Pb 3.95-4.11, 6 Ba 4.35-4.37
Ba 0.0000 0.9664 0.9420  4 Pb 3.79, 2 Ca 3.85
Pb 0.5000 0.5594 0.7560  2 Ca 3.31


Record 11
Density functional theory data (PBE) for crystalline BaCa2Pb3 at its relaxed geometry.

Crystal system: orthorhombic
E_form (meV per atom): -412
Distance to the lowest polymorph of the same formula (meV/atom): 97

abc: 7.4039 7.8556 7.8556
angles: 107.82 90.00 90.00
Closest atoms and distances in Å follow each position.
Fractional positions:
Ca 0.5000 0.7860 0.2140  6 Pb 3.24-3.49
Ca 0.0000 0.2140 0.7860  6 Pb 3.24-3.49
Ca 0.5000 0.2140 0.7860  6 Pb 3.24-3.49
Ca 0.0000 0.7860 0.2140  6 Pb 3.24-3.49
Pb 0.7500 0.0236 0.0236  2 Pb 3.09, 4 Ca 3.29, 1 Ba 3.40
Pb 0.2500 0.8340 0.5639  2 Pb 3.09-3.43, 2 Ca 3.24
Pb 0.7500 0.1660 0.4360  2 Pb 3.09-3.43, 2 Ca 3.24
Pb 0.2500 0.9764 0.9764  2 Pb 3.09, 4 Ca 3.29, 1 Ba 3.40
Pb 0.7500 0.4360 0.1660  2 Pb 3.09-3.43, 2 Ca 3.24
Pb 0.2500 0.5639 0.8340  2 Pb 3.09-3.43, 2 Ca 3.24
Ba 0.2500 0.3440 0.3440  3 Pb 3.40-3.71
Ba 0.7500 0.6560 0.6560  3 Pb 3.40-3.71


Record 12
Density functional theory data (PBE) for crystalline Ba2CaPb at its relaxed geometry.

Crystal system: tetragonal
E_form (meV per atom): -300

abc: 5.6016 5.6016 5.3558
angles: 90.00 90.00 90.00
Closest atoms and distances in Å follow each position.
Fractional positions:
Pb 0.0000 0.5000 0.5000  8 Ba 3.88, 4 Ca 3.96
Ca 0.5000 0.0000 0.5000  8 Ba 3.88, 4 Pb 3.96
Ba 0.5000 0.5000 0.0000  4 Pb 3.88, 4 Ca 3.88, 4 Ba 3.96
Ba 0.0000 0.0000 0.0000  4 Pb 3.88, 4 Ca 3.88, 4 Ba 3.96


Values for V, A^3/atom, ordered as above
42.35 38.41 63.56 38.15 33.95 39.65 45.37 40.77 39.50 45.03 36.25 42.01